No. 1
# YH2ClO2

YH2ClO2 after structural relaxation (PBE, Alexandria via LeMat-Bulk).

The structure in CIF format:
```
data_YH2ClO2
_cell_length_a 5.7629
_cell_length_b 3.8106
_cell_length_c 6.9149
_cell_angle_alpha 90.00
_cell_angle_beta 96.41
_cell_angle_gamma 90.00
_symmetry_space_group_name_H-M 'P 1 21/m 1'
_symmetry_Int_Tables_number 11
_symmetry_space_group_name_Hall '-P 2yb'
loop_
_atom_site_label
_atom_site_type_symbol
_atom_site_fract_x
_atom_site_fract_y
_atom_site_fract_z
_atom_site_occupancy
Y1 Y 0.0745 0.2500 0.3010 1
H1 H 0.4053 0.5433 0.6711 1
Cl1 Cl 0.2466 0.7500 0.0470 1
O1 O 0.1095 0.2500 0.6287 1
O2 O 0.4976 0.7500 0.6395 1
```

Total moment = 0.0 μB per formula unit
Energy = -6.1100 eV per atom
Crystal system = monoclinic

***

No. 2
# ZnHClO

ZnHClO after structural relaxation (PBE, Alexandria via LeMat-Bulk).

The structure in CIF format:
```
data_ZnHClO
_cell_length_a 3.3988
_cell_length_b 3.3988
_cell_length_c 16.0479
_cell_angle_alpha 90.00
_cell_angle_beta 90.00
_cell_angle_gamma 120.00
_symmetry_space_group_name_H-M 'R 3 m'
_symmetry_Int_Tables_number 160
_symmetry_space_group_name_Hall 'R 3 -2"'
loop_
_atom_site_label
_atom_site_type_symbol
_atom_site_fract_x
_atom_site_fract_y
_atom_site_fract_z
_atom_site_occupancy
Zn1 Zn 0.0000 0.0000 0.0000 1
H1 H 0.0000 0.0000 0.2209 1
Cl1 Cl 0.0000 0.0000 0.7661 1
O1 O 0.0000 0.0000 0.2821 1
```

Total moment = 0.0 μB per formula unit
Energy = -4.0004 eV per atom
Crystal system = trigonal

***

No. 3
# ZnH6Cl2O3

ZnH6Cl2O3 after structural relaxation (PBE, Alexandria via LeMat-Bulk).

The structure in CIF format:
```
data_ZnH6Cl2O3
_cell_length_a 6.6873
_cell_length_b 6.7909
_cell_length_c 14.1644
_cell_angle_alpha 90.94
_cell_angle_beta 101.85
_cell_angle_gamma 98.42
_symmetry_space_group_name_H-M 'P -1'
_symmetry_Int_Tables_number 2
_symmetry_space_group_name_Hall '-P 1'
loop_
_atom_site_label
_atom_site_type_symbol
_atom_site_fract_x
_atom_site_fract_y
_atom_site_fract_z
_atom_site_occupancy
Zn1 Zn 0.0000 0.0000 0.0000 1
Zn2 Zn 0.0000 0.0000 0.5000 1
Zn3 Zn 0.3692 0.5985 0.2615 1
H1 H 0.0006 0.1278 0.8130 1
H2 H 0.0362 0.6484 0.3968 1
H3 H 0.0702 0.8303 0.6763 1
H4 H 0.0738 0.6763 0.9052 1
H5 H 0.1741 0.6522 0.5024 1
H6 H 0.2055 0.6748 0.0120 1
H7 H 0.2225 0.2036 0.8753 1
H8 H 0.2740 0.9734 0.6677 1
H9 H 0.3421 0.0531 0.1422 1
H10 H 0.3425 0.0942 0.4286 1
H11 H 0.3457 0.2509 0.0853 1
H12 H 0.3476 0.2613 0.5103 1
Cl1 Cl 0.0309 0.4591 0.2536 1
Cl2 Cl 0.3788 0.9405 0.2846 1
Cl3 Cl 0.4223 0.5250 0.6146 1
Cl4 Cl 0.4660 0.5692 0.1164 1
O1 O 0.0661 0.7143 0.4614 1
O2 O 0.0820 0.7192 0.9727 1
O3 O 0.1002 0.1011 0.8705 1
O4 O 0.1218 0.9548 0.6484 1
O5 O 0.2971 0.1208 0.4885 1
O6 O 0.3017 0.1051 0.0773 1
```

Total moment = 0.0 μB per formula unit
Energy = -4.3901 eV per atom
Crystal system = triclinic

***

No. 4
# H2OsCl

H2OsCl after structural relaxation (PBE, Alexandria via LeMat-Bulk).

The structure in CIF format:
```
data_H2OsCl
_cell_length_a 5.3143
_cell_length_b 5.3143
_cell_length_c 5.3143
_cell_angle_alpha 90.00
_cell_angle_beta 90.00
_cell_angle_gamma 90.00
_symmetry_space_group_name_H-M 'F m -3 m'
_symmetry_Int_Tables_number 225
_symmetry_space_group_name_Hall '-F 4 2 3'
loop_
_atom_site_label
_atom_site_type_symbol
_atom_site_fract_x
_atom_site_fract_y
_atom_site_fract_z
_atom_site_occupancy
H1 H 0.2500 0.2500 0.2500 1
Os1 Os 0.0000 0.0000 0.0000 1
Cl1 Cl 0.0000 0.0000 0.5000 1
```

Total moment = 0.0 μB per formula unit
Crystal system = cubic
ΔE to the lowest computed polymorph = 748.8 meV per atom

***

No. 5
# H3OsCl6

H3OsCl6 after structural relaxation (PBE, Alexandria via LeMat-Bulk).

The structure in CIF format:
```
data_H3OsCl6
_cell_length_a 5.6383
_cell_length_b 6.3857
_cell_length_c 6.8176
_cell_angle_alpha 62.82
_cell_angle_beta 83.35
_cell_angle_gamma 88.66
_symmetry_space_group_name_H-M 'P -1'
_symmetry_Int_Tables_number 2
_symmetry_space_group_name_Hall '-P 1'
loop_
_atom_site_label
_atom_site_type_symbol
_atom_site_fract_x
_atom_site_fract_y
_atom_site_fract_z
_atom_site_occupancy
H1 H 0.0000 0.0000 0.0000 1
H2 H 0.4658 0.3668 0.2678 1
Os1 Os 0.0000 0.5000 0.0000 1
Cl1 Cl 0.2010 0.1685 0.9948 1
Cl2 Cl 0.2238 0.4847 0.2791 1
Cl3 Cl 0.2886 0.7615 0.7187 1
```

Total moment = 1.0 μB per formula unit
Energy = -3.6115 eV per atom
Crystal system = triclinic

***

No. 6
# H2OsCl6

H2OsCl6 after structural relaxation (PBE, Alexandria via LeMat-Bulk).

The structure in CIF format:
```
data_H2OsCl6
_cell_length_a 14.3146
_cell_length_b 12.3210
_cell_length_c 5.9060
_cell_angle_alpha 90.00
_cell_angle_beta 94.60
_cell_angle_gamma 90.00
_symmetry_space_group_name_H-M 'C 1 2/c 1'
_symmetry_Int_Tables_number 15
_symmetry_space_group_name_Hall '-C 2yc'
loop_
_atom_site_label
_atom_site_type_symbol
_atom_site_fract_x
_atom_site_fract_y
_atom_site_fract_z
_atom_site_occupancy
H1 H 0.1302 0.0233 0.2695 1
Os1 Os 0.0000 0.4276 0.7500 1
Cl1 Cl 0.0942 0.4301 0.1012 1
Cl2 Cl 0.0969 0.3012 0.6154 1
Cl3 Cl 0.1322 0.0871 0.0936 1
```

Total moment = 2.0 μB per formula unit
Energy = -3.6523 eV per atom
Crystal system = monoclinic

***

No. 7
# HOsCl3

HOsCl3 after structural relaxation (PBE, Alexandria via LeMat-Bulk).

The structure in CIF format:
```
data_HOsCl3
_cell_length_a 4.8006
_cell_length_b 4.8006
_cell_length_c 4.8006
_cell_angle_alpha 90.00
_cell_angle_beta 90.00
_cell_angle_gamma 90.00
_symmetry_space_group_name_H-M 'P m -3 m'
_symmetry_Int_Tables_number 221
_symmetry_space_group_name_Hall '-P 4 2 3'
loop_
_atom_site_label
_atom_site_type_symbol
_atom_site_fract_x
_atom_site_fract_y
_atom_site_fract_z
_atom_site_occupancy
H1 H 0.0000 0.0000 0.0000 1
Os1 Os 0.5000 0.5000 0.5000 1
Cl1 Cl 0.0000 0.5000 0.5000 1
```

Total moment = 3.3 μB per formula unit
Crystal system = cubic
ΔE to the lowest computed polymorph = 0.0 meV per atom

***

No. 8
# HOsCl3

HOsCl3 after structural relaxation (PBE, Alexandria via LeMat-Bulk).

The structure in CIF format:
```
data_HOsCl3
_cell_length_a 4.1680
_cell_length_b 4.1680
_cell_length_c 4.1680
_cell_angle_alpha 90.00
_cell_angle_beta 90.00
_cell_angle_gamma 90.00
_symmetry_space_group_name_H-M 'P m -3 m'
_symmetry_Int_Tables_number 221
_symmetry_space_group_name_Hall '-P 4 2 3'
loop_
_atom_site_label
_atom_site_type_symbol
_atom_site_fract_x
_atom_site_fract_y
_atom_site_fract_z
_atom_site_occupancy
H1 H 0.0000 0.0000 0.0000 1
Os1 Os 0.5000 0.5000 0.5000 1
Cl1 Cl 0.0000 0.0000 0.5000 1
```

Total moment = 0.2 μB per formula unit
Crystal system = cubic
ΔE to the lowest computed polymorph = 841.4 meV per atom